1.
This record from Alexandria describes a relaxed Pr2Er2Se5 crystal. The functional is GGA-PBE.

a b c (Å): 14.909 7.814 7.730
angles (deg): 90.00 90.00 90.00
Space group Cmce (No. 64)
One atom of each set of equivalent atoms:
Pr 0.198 0.000 0.000 [8 per cell]
Er 0.000 0.151 0.343 [8 per cell]
Se 0.000 0.000 0.000 [4 per cell]
Se 0.132 0.158 0.654 [16 per cell]

The uncorrected formation energy is -1.7393 eV/atom.


2.
This record from Alexandria describes a relaxed AcInRh crystal. The functional is GGA-PBE.

a b c (Å): 7.971 5.101 7.539
angles (deg): 90.00 90.00 90.00
Space group Pnma (No. 62)
One atom of each set of equivalent atoms:
Ac 0.036 0.250 0.192 [4 per cell]
In 0.187 0.250 0.612 [4 per cell]
Rh 0.159 0.750 0.442 [4 per cell]

The calculation puts the formation energy at -602.4 meV/atom.


3.
This record from Alexandria describes a relaxed Li3Tm3MnS8 crystal. The functional is GGA-PBE.

a b c (Å): 7.5573 7.5573 18.4050
angles (deg): 90.00 90.00 120.00
Space group R-3m (No. 166, hexagonal axes)
One atom of each set of equivalent atoms:
Li 0.0000 0.5000 0.0000 [9 per cell]
Tm 0.0000 0.5000 0.5000 [9 per cell]
Mn 0.0000 0.0000 0.5000 [3 per cell]
S 0.0000 0.0000 0.2499 [6 per cell]
S 0.0335 0.5167 0.2438 [18 per cell]

The uncorrected formation energy is -1.5558 eV/atom.


4.
This record from Alexandria describes a relaxed KNaPuCl6 crystal. The functional is GGA-PBE.

a b c (Å): 7.1414 7.1414 13.5523
angles (deg): 90.00 90.00 120.00
Space group P-31c (No. 163)
One atom of each set of equivalent atoms:
K 0.0000 0.0000 0.0000 [2 per cell]
Na 0.3333 0.6667 0.2500 [2 per cell]
Pu 0.3333 0.6667 0.7500 [2 per cell]
Cl 0.0258 0.3761 0.6397 [12 per cell]

The uncorrected formation energy is -1.8109 eV/atom.


5.
This record from Alexandria describes a relaxed Ag2HgMo crystal. The functional is GGA-PBE.

a b c (Å): 5.818 10.200 2.718
angles (deg): 90.00 114.66 90.00
Space group C2/m (No. 12)
One atom of each set of equivalent atoms:
Ag 0.250 0.250 0.000 [4 per cell]
Hg 0.000 0.000 0.500 [2 per cell]
Mo 0.000 0.500 0.500 [2 per cell]

The calculation puts the formation energy at 515.6 meV/atom.


6.
This record from Alexandria describes a relaxed ErTh2Sb2Te2 crystal. The functional is GGA-PBE.

a b c (Å): 5.654 5.654 15.701
angles (deg): 90.00 90.00 90.00
Space group I4/mmm (No. 139)
One atom of each set of equivalent atoms:
Er 0.000 0.000 0.000 [2 per cell]
Th 0.000 0.000 0.387 [4 per cell]
Sb 0.000 0.500 0.000 [4 per cell]
Te 0.000 0.000 0.192 [4 per cell]

The uncorrected formation energy is -0.6319 eV/atom.


7.
This record from Alexandria describes a relaxed YHo7Cd2 crystal. The functional is GGA-PBE.

a b c (Å): 8.914 15.683 5.229
angles (deg): 90.00 90.00 90.00
Space group Cmmm (No. 65)
One atom of each set of equivalent atoms:
Y 0.000 0.000 0.000 [2 per cell]
Ho 0.000 0.224 0.000 [4 per cell]
Ho 0.000 0.500 0.500 [2 per cell]
Ho 0.182 0.117 0.500 [8 per cell]
Cd 0.000 0.304 0.500 [4 per cell]

The calculation puts the formation energy at 415.6 meV/atom.


8.
This record from Alexandria describes a relaxed POsNO2 crystal. The functional is GGA-PBE.

a b c (Å): 3.889 3.889 3.893
angles (deg): 90.00 90.00 90.00
Space group P4/mmm (No. 123)
One atom of each set of equivalent atoms:
P 0.000 0.000 0.000 [1 per cell]
Os 0.500 0.500 0.500 [1 per cell]
N 0.500 0.500 0.000 [1 per cell]
O 0.000 0.500 0.500 [2 per cell]

The uncorrected formation energy is 0.4714 eV/atom.


9.
This record from Alexandria describes a relaxed HfTiMnFe crystal. The functional is GGA-PBE.

a b c (Å): 3.059 3.059 6.134
angles (deg): 90.00 90.00 90.00
Space group P4mm (No. 99)
One atom of each set of equivalent atoms:
Hf 0.000 0.000 0.000 [1 per cell]
Ti 0.000 0.000 0.501 [1 per cell]
Mn 0.500 0.500 0.266 [1 per cell]
Fe 0.500 0.500 0.738 [1 per cell]

The calculation puts the formation energy at -261.5 meV/atom.


10.
This record from Alexandria describes a relaxed NpTaGe crystal. The functional is GGA-PBE.

a b c (Å): 7.639 3.499 8.474
angles (deg): 90.00 90.00 90.00
Space group Pnma (No. 62)
One atom of each set of equivalent atoms:
Np 0.028 0.250 0.098 [4 per cell]
Ta 0.126 0.250 0.561 [4 per cell]
Ge 0.210 0.750 0.335 [4 per cell]

The calculation puts the formation energy at -190.8 meV/atom.


11.
This record from Alexandria describes a relaxed LaCe2Pm8 crystal. The functional is GGA-PBE.

a b c (Å): 5.610 8.361 16.112
angles (deg): 90.00 90.00 90.00
Space group Immm (No. 71)
One atom of each set of equivalent atoms:
La 0.000 0.000 0.000 [2 per cell]
Ce 0.000 0.000 0.301 [4 per cell]
Pm 0.000 0.202 0.500 [4 per cell]
Pm 0.000 0.296 0.141 [8 per cell]
Pm 0.000 0.500 0.341 [4 per cell]

The calculation puts the formation energy at 153.2 meV/atom.


12.
This record from Alexandria describes a relaxed BaBeOs2 crystal. The functional is GGA-PBE.

a b c (Å): 2.832 4.938 9.932
angles (deg): 90.00 90.00 90.00
Space group Immm (No. 71)
One atom of each set of equivalent atoms:
Ba 0.000 0.000 0.000 [2 per cell]
Be 0.000 0.000 0.500 [2 per cell]
Os 0.000 0.500 0.206 [4 per cell]

The calculation puts the formation energy at 991.1 meV/atom.